1.
Entry from the Alexandria database: CeDy2Y8 after structural relaxation (PBE).

Properties
**Polymorph energy (0 for the lowest one)**: 129 meV/atom
**E_form**: 173 meV/atom
**Total moment**: 1.1 μB/f.u.
**Space group**: C2/m (12)
**Calculated volume**: 372.6 Å³ per cell
**Energy**: -5.904 eV/atom

Structure (POSCAR):
```
CeDy2Y8
1.0
-1.7345 -3.8199 3.6938
7.8024 2.8667 5.9065
2.2033 6.7631 7.3066
Ce Dy Y
1 2 8
direct
0.0000 0.0000 0.0000
0.7512 0.2839 0.2839
0.2488 0.7161 0.7161
0.2669 0.1327 0.6019
0.2669 0.6019 0.1327
0.7331 0.8673 0.3981
0.2368 0.5470 0.5470
0.7331 0.3981 0.8673
0.2341 0.1875 0.1875
0.7659 0.8125 0.8125
0.7632 0.4530 0.4530
```

=====

2.
Entry from the Alexandria database: CeDyY2 after structural relaxation (PBE).

Properties
**Polymorph energy (0 for the lowest one)**: 28 meV/atom
**E_form**: 75 meV/atom
**Total moment**: 0.6 μB/f.u.
**Space group**: P4/mmm (123)
**Calculated volume**: 126.6 Å³ per cell
**Energy**: -5.791 eV/atom

Structure (POSCAR):
```
CeDyY2
1.0
5.0302 0.0000 0.0000
0.0000 5.0165 0.0000
0.0000 0.0000 5.0165
Y Ce Dy
2 1 1
direct
0.0000 0.0000 0.5000
0.0000 0.5000 0.0000
0.5000 0.0000 0.0000
0.5000 0.5000 0.5000
```

=====

3.
Entry from the Alexandria database: CeDyY after structural relaxation (PBE).

Properties
**Polymorph energy (0 for the lowest one)**: 76 meV/atom
**E_form**: 144 meV/atom
**Total moment**: 1.1 μB/f.u.
**Space group**: P2_1/c (14)
**Calculated volume**: 379.3 Å³ per cell
**Energy**: -5.523 eV/atom

Structure (POSCAR):
```
CeDyY
1.0
6.2729 0.0000 -2.0503
0.0000 10.3215 0.0000
-1.6056 0.0000 6.3829
Ce Dy Y
4 4 4
direct
0.0585 0.7758 0.1947
0.5585 0.7242 0.1947
0.4415 0.2758 0.8053
0.9415 0.2242 0.8053
0.9638 0.1271 0.3109
0.4638 0.3729 0.3109
0.5362 0.6271 0.6891
0.0362 0.8729 0.6891
0.9270 0.4572 0.2226
0.4270 0.0428 0.2226
0.5730 0.9572 0.7774
0.0730 0.5428 0.7774
```

=====

4.
Entry from the Alexandria database: CeDy7Y12 after structural relaxation (PBE).

Properties
**Polymorph energy (0 for the lowest one)**: 0 meV/atom
**E_form**: 267 meV/atom
**Total moment**: 1.7 μB/f.u.
**Space group**: R-3m (166)
**Calculated volume**: 661.3 Å³ per cell
**Energy**: -5.519 eV/atom

Structure (POSCAR):
```
CeDy7Y12
1.0
9.9753 -0.6709 -1.0070
-3.4182 9.3953 -1.0070
-3.4182 -4.5480 8.2826
Ce Dy Y
1 7 12
direct
0.0000 0.0000 0.0000
0.8542 0.5325 0.8542
0.4675 0.1458 0.1458
0.1458 0.1458 0.4675
0.5000 0.5000 0.5000
0.8542 0.8542 0.5325
0.5325 0.8542 0.8542
0.1458 0.4675 0.1458
0.0000 0.2858 0.7142
0.7142 0.2858 0.0000
0.4313 0.0916 0.4313
0.9084 0.5687 0.5687
0.2858 0.0000 0.7142
0.5687 0.5687 0.9084
0.4313 0.4313 0.0916
0.7142 0.0000 0.2858
0.0916 0.4313 0.4313
0.5687 0.9084 0.5687
0.2858 0.7142 0.0000
0.0000 0.7142 0.2858
```

=====

5.
Entry from the Alexandria database: CeDy8Y6 after structural relaxation (PBE).

Properties
**E_form**: 125 meV/atom
**Total moment**: 1.3 μB/f.u.
**Space group**: R-3 (148)
**Calculated volume**: 483.7 Å³ per cell
**Energy**: -5.310 eV/atom

Structure (POSCAR):
```
CeDy8Y6
1.0
7.7563 0.1165 3.7439
2.3982 7.3772 3.7439
0.1578 0.1165 8.6112
Ce Dy Y
1 8 6
direct
0.0000 0.0000 0.0000
0.1121 0.7172 0.7517
0.2483 0.8879 0.2828
0.2828 0.2483 0.8879
0.5768 0.5768 0.5768
0.4232 0.4232 0.4232
0.7172 0.7517 0.1121
0.7517 0.1121 0.7172
0.8879 0.2828 0.2483
0.8961 0.4606 0.7665
0.2335 0.1039 0.5394
0.5394 0.2335 0.1039
0.4606 0.7665 0.8961
0.7665 0.8961 0.4606
0.1039 0.5394 0.2335
```

=====

6.
Entry from the Alexandria database: CeDyY6 after structural relaxation (PBE).

Properties
**Polymorph energy (0 for the lowest one)**: 47 meV/atom
**E_form**: 224 meV/atom
**Total moment**: 1.9 μB/f.u.
**Space group**: P-1 (2)
**Calculated volume**: 261.1 Å³ per cell
**Energy**: -5.941 eV/atom

Structure (POSCAR):
```
CeDyY6
1.0
-6.3710 2.4065 0.5794
-1.8968 -3.6398 -5.0566
-4.0455 -2.4014 5.0602
Ce Dy Y
1 1 6
direct
0.0000 0.5000 0.0000
0.0000 0.0000 0.0000
0.0960 0.7315 0.4788
0.5739 0.7664 0.5193
0.4261 0.2336 0.4807
0.9040 0.2685 0.5212
0.5524 0.7494 0.9993
0.4476 0.2506 0.0007
```

=====

7.
Entry from the Alexandria database: CeDy4Y8 after structural relaxation (PBE).

Properties
**E_form**: 175 meV/atom
**Total moment**: 0.2 μB/f.u.
**Space group**: R-3m (166)
**Calculated volume**: 413.8 Å³ per cell
**Energy**: -5.675 eV/atom

Structure (POSCAR):
```
CeDy4Y8
1.0
6.4234 -0.0004 -3.4655
-4.1463 6.0065 -0.0005
1.1466 0.7923 9.8111
Ce Dy Y
1 4 8
direct
0.0000 0.5000 0.5000
0.0000 0.0000 0.0000
0.0000 0.5000 0.0000
0.5000 0.5000 0.0000
0.5000 0.0000 0.0000
0.5593 0.7796 0.3389
0.4407 0.2204 0.6611
0.5115 0.2557 0.3111
0.9446 0.2003 0.6889
0.4885 0.7443 0.6889
0.9446 0.7443 0.6889
0.0554 0.2557 0.3111
0.0554 0.7997 0.3111
```

=====

8.
Entry from the Alexandria database: CeDy8Y3 after structural relaxation (PBE).

Properties
**E_form**: 624 meV/atom
**Total moment**: 0.0 μB/f.u.
**Space group**: I-42m (121)
**Calculated volume**: 422.7 Å³ per cell
**Energy**: -4.555 eV/atom

Structure (POSCAR):
```
CeDy8Y3
1.0
7.5153 -0.4709 -3.5613
-4.3901 6.9784 -1.1886
-0.2962 0.4709 8.3111
Ce Dy Y
1 8 3
direct
0.0000 0.0000 0.0000
0.4644 0.2020 0.2020
0.5356 0.7376 0.7376
0.0000 0.7980 0.2624
0.0000 0.2624 0.7980
0.2493 0.3604 0.3604
0.7507 0.1111 0.1111
0.0000 0.6396 0.8889
0.0000 0.8889 0.6396
0.5000 0.7500 0.2500
0.5000 0.2500 0.7500
0.0000 0.5000 0.5000
```

=====

energy of number 7 (CeDy4Y8)? -5.675 eV/atom

=====

What did the eighth record say?
Entry from the Alexandria database: CeDy8Y3 after structural relaxation (PBE).

Properties
**E_form**: 624 meV/atom
**Total moment**: 0.0 μB/f.u.
**Space group**: I-42m (121)
**Calculated volume**: 422.7 Å³ per cell
**Energy**: -4.555 eV/atom

Structure (POSCAR):
```
CeDy8Y3
1.0
7.5153 -0.4709 -3.5613
-4.3901 6.9784 -1.1886
-0.2962 0.4709 8.3111
Ce Dy Y
1 8 3
direct
0.0000 0.0000 0.0000
0.4644 0.2020 0.2020
0.5356 0.7376 0.7376
0.0000 0.7980 0.2624
0.0000 0.2624 0.7980
0.2493 0.3604 0.3604
0.7507 0.1111 0.1111
0.0000 0.6396 0.8889
0.0000 0.8889 0.6396
0.5000 0.7500 0.2500
0.5000 0.2500 0.7500
0.0000 0.5000 0.5000
```

=====

energy of number 6 (CeDyY6)? -5.941 eV/atom